A:
Entry from the Alexandria database: a relaxed Ni2Ir2Os crystal (PBE).

a b c (Å): 4.248 6.206 6.244
angles (deg): 67.28 70.18 70.06
Fractional coordinates of all 10 atoms:
Ni 0.910 0.695 0.486
Ni 0.541 0.623 0.296
Ir 0.163 0.605 0.070
Os 0.371 0.120 0.137
Ir 0.731 0.136 0.400
Ir 0.269 0.864 0.600
Os 0.629 0.880 0.863
Ni 0.090 0.305 0.514
Ni 0.459 0.377 0.704
Ir 0.837 0.395 0.930

B:
Entry from the Alexandria database: a relaxed Ni2Ir2Os crystal (PBE).

a b c (Å): 2.694 2.694 10.627
angles (deg): 90.00 90.00 120.00
Fractional coordinates of all 5 atoms:
Os 0.000 0.000 0.500
Ni 0.333 0.667 0.908
Ni 0.667 0.333 0.092
Ir 0.333 0.667 0.292
Ir 0.667 0.333 0.708

Decreasing stability: B, A

A:
Entry from the Alexandria database: a relaxed NiIrOs3 crystal (PBE).

a b c (Å): 4.339 4.339 4.339
angles (deg): 90.00 90.00 90.00
Fractional coordinates of all 5 atoms:
Ir 0.500 0.500 0.500
Os 0.000 0.500 0.000
Ni 0.000 0.000 0.000
Os 0.500 0.000 0.000
Os 0.000 0.000 0.500

B:
Entry from the Alexandria database: a relaxed NiIrOs3 crystal (PBE).

a b c (Å): 4.691 4.691 4.691
angles (deg): 90.00 90.00 90.00
Fractional coordinates of all 5 atoms:
Os 0.000 0.000 0.500
Os 0.000 0.500 0.000
Ir 0.000 0.000 0.000
Os 0.500 0.000 0.000
Ni 0.500 0.500 0.500

Decreasing stability: A, B

A:
Entry from the Alexandria database: a relaxed VNiIrOs crystal (PBE).

a b c (Å): 3.607 3.789 3.864
angles (deg): 90.00 90.00 90.00
Fractional coordinates of all 4 atoms:
Ir 0.500 0.500 0.000
Os 0.500 0.000 0.500
V 0.000 0.500 0.500
Ni 0.000 0.000 0.000

B:
Entry from the Alexandria database: a relaxed VNiIrOs crystal (PBE).

a b c (Å): 4.219 4.219 4.219
angles (deg): 60.00 60.00 60.00
Fractional coordinates of all 4 atoms:
Ir 0.250 0.250 0.250
Ni 0.000 0.000 0.000
V 0.500 0.500 0.500
Os 0.750 0.750 0.750

Decreasing stability: A, B

A:
Entry from the Alexandria database: a relaxed NiP2Ir crystal (PBE).

a b c (Å): 4.415 3.579 4.226
angles (deg): 64.93 90.00 90.00
Fractional coordinates of all 4 atoms:
P 0.500 0.527 0.321
Ir 0.000 0.410 0.555
P 0.000 0.725 0.925
Ni 0.500 0.838 0.699

B:
Entry from the Alexandria database: a relaxed NiP2Ir crystal (PBE).

a b c (Å): 2.859 4.767 3.925
angles (deg): 90.00 90.00 90.00
Fractional coordinates of all 4 atoms:
P 0.500 0.500 0.000
Ni 0.000 0.500 0.500
P 0.000 0.000 0.000
Ir 0.500 0.000 0.500

Decreasing stability: A, B

A:
Entry from the Alexandria database: a relaxed NiP2Ir crystal (PBE).

a b c (Å): 2.724 2.724 9.153
angles (deg): 90.00 90.00 118.88
Fractional coordinates of all 4 atoms:
Ir 0.000 0.000 0.506
P 0.500 0.500 0.294
P 0.000 0.000 0.945
Ni 0.500 0.500 0.755

B:
Entry from the Alexandria database: a relaxed NiP2Ir crystal (PBE).

a b c (Å): 4.781 4.781 4.781
angles (deg): 136.20 136.20 63.68
Fractional coordinates of all 4 atoms:
Ni 0.750 0.250 0.500
P 0.250 0.750 0.500
Ir 0.500 0.500 0.000
P 0.000 0.000 0.000

Decreasing stability: B, A

A:
Entry from the Alexandria database: a relaxed Ni2P2Ir crystal (PBE).

a b c (Å): 6.134 6.134 3.293
angles (deg): 90.00 90.00 90.00
Fractional coordinates of all 10 atoms:
Ni 0.858 0.358 0.500
Ir 0.000 0.000 0.000
P 0.139 0.361 0.000
Ni 0.142 0.642 0.500
Ni 0.358 0.142 0.500
P 0.861 0.639 0.000
P 0.361 0.861 0.000
P 0.639 0.139 0.000
Ni 0.642 0.858 0.500
Ir 0.500 0.500 0.000

B:
Entry from the Alexandria database: a relaxed Ni2P2Ir crystal (PBE).

a b c (Å): 5.828 5.828 5.828
angles (deg): 145.09 145.09 50.19
Fractional coordinates of all 5 atoms:
P 0.250 0.750 0.500
Ni 0.384 0.384 0.000
Ir 0.000 0.000 0.000
Ni 0.616 0.616 0.000
P 0.750 0.250 0.500

Decreasing stability: A, B